(1)
# MgAgSb | the Open Quantum Materials Database | PBE-GGA | optimized geometry
# Excess energy over the best structure of this formula in the dataset, meV per atom: 70
# Energy, eV/atom: -3.00
data_MgAgSb
_space_group_name_H-M_alt 'P -6 2 m'
_space_group_IT_number 189
_space_group_name_Hall 'P -6 -2'
_cell_length_a 7.3975
_cell_length_b 7.3975
_cell_length_c 4.3041
_cell_angle_alpha 90.00
_cell_angle_beta 90.00
_cell_angle_gamma 120.00
loop_
_atom_site_label
_atom_site_fract_x
_atom_site_fract_y
_atom_site_fract_z
Mg1 0.0000 0.5920 0.0000
Ag1 0.0000 0.2563 0.5000
Sb1 0.0000 0.0000 0.0000
Sb2 0.3333 0.6667 0.5000


(2)
# MgScAg2 | the Open Quantum Materials Database | PBE-GGA | optimized geometry
# Total moment, μB per formula unit: 0.02
# Energy, eV/atom: -3.61
data_MgScAg2
_space_group_name_H-M_alt 'P 4/m m m'
_space_group_IT_number 123
_space_group_name_Hall '-P 4 2'
_cell_length_a 4.772
_cell_length_b 4.772
_cell_length_c 3.389
_cell_angle_alpha 90.00
_cell_angle_beta 90.00
_cell_angle_gamma 90.00
loop_
_atom_site_label
_atom_site_fract_x
_atom_site_fract_y
_atom_site_fract_z
Mg1 0.000 0.000 0.000
Sc1 0.500 0.500 0.000
Ag1 0.000 0.500 0.500


(3)
# MgScAg2 | the Open Quantum Materials Database | PBE-GGA | optimized geometry
# Total moment, μB per formula unit: 0.01
# Energy, eV/atom: -3.58
data_MgScAg2
_space_group_name_H-M_alt 'P 63/m m c'
_space_group_IT_number 194
_space_group_name_Hall '-P 6c 2c'
_cell_length_a 4.7326
_cell_length_b 4.7326
_cell_length_c 8.2794
_cell_angle_alpha 90.00
_cell_angle_beta 90.00
_cell_angle_gamma 120.00
loop_
_atom_site_label
_atom_site_fract_x
_atom_site_fract_y
_atom_site_fract_z
Mg1 0.3333 0.6667 0.2500
Sc1 0.0000 0.0000 0.0000
Ag1 0.3333 0.6667 0.5862


(4)
# MgScAg2 | the Open Quantum Materials Database | PBE-GGA | optimized geometry
# Total moment, μB per formula unit: 0.00
# Energy, eV/atom: -3.65
data_MgScAg2
_space_group_name_H-M_alt 'P 4/m m m'
_space_group_IT_number 123
_space_group_name_Hall '-P 4 2'
_cell_length_a 3.371
_cell_length_b 3.371
_cell_length_c 6.775
_cell_angle_alpha 90.00
_cell_angle_beta 90.00
_cell_angle_gamma 90.00
loop_
_atom_site_label
_atom_site_fract_x
_atom_site_fract_y
_atom_site_fract_z
Mg1 0.000 0.000 0.000
Sc1 0.000 0.000 0.500
Ag1 0.500 0.500 0.247


| no. | V (Å³/f.u.) |
| --- | --- |
| 1 | 68 |
| 2 | 77 |
| 3 | 80 |
| 4 | 77 |